A geometry-optimized Be2PtRhBr structure. Source: Alexandria via LeMat-Bulk, functional PBE.

a = 4.187 Å, b = 4.187 Å, c = 4.729 Å
α = 90.00°, β = 90.00°, γ = 90.00°
Space group P4/mmm (No. 123)
One atom of each set of equivalent atoms:
Be 0.000 0.500 0.000
Pt 0.000 0.000 0.500
Rh 0.500 0.500 0.500
Br 0.000 0.000 0.000

The raw formation energy comes out at 1.34 eV per atom.

***

A geometry-optimized BePtSe2Br structure. Source: Alexandria via LeMat-Bulk, functional PBE.

a = 4.967 Å, b = 4.967 Å, c = 5.128 Å
α = 90.00°, β = 90.00°, γ = 90.00°
Space group P4/mmm (No. 123)
One atom of each set of equivalent atoms:
Be 0.000 0.000 0.000
Pt 0.500 0.500 0.500
Se 0.000 0.500 0.500
Br 0.500 0.500 0.000

The raw formation energy comes out at 0.77 eV per atom.